Cr2HgC | PBE | optimized geometry

Cell lengths 4.150, 4.150, 4.150 Å; angles 60.00, 60.00, 60.00 degrees
Element x y z (fractional)
Cr: 0.250 0.250 0.250
Cr: 0.750 0.750 0.750
C: 0.000 0.000 0.000
Hg: 0.500 0.500 0.500

Calculated formation energy, eV per atom: 1.633
SG: Fm-3m
DOS(E_F), states/eV/f.u.: 5.16


Hf3HgC | PBE | optimized geometry

Cell lengths 8.066, 4.652, 5.781 Å; angles 66.30, 70.35, 73.25 degrees
Element x y z (fractional)
C: 0.790 0.043 0.909
C: 0.637 0.804 0.539
Hf: 0.382 0.781 0.841
Hf: 0.044 0.067 0.607
Hf: 0.521 0.035 0.193
Hf: 0.906 0.812 0.255
Hf: 0.650 0.282 0.572
Hf: 0.777 0.566 0.877
Hg: 0.284 0.532 0.436
Hg: 0.143 0.315 0.012

Calculated formation energy, eV per atom: -0.441
ΔE to the lowest computed polymorph, eV/atom: 0.068
SG: C2/m
DOS(E_F), states/eV/f.u.: 1.02


Q: What is the formula in the second record?
A: Hf3HgC


Q: Which of these has the lowest DOS(E_F)?
A: Hf3HgC


Q: What is the calculated formation energy in the first record?
A: 1.633 eV per atom